No. 1
Material: PrHo3Hg6
Method: DFT, PBE
State: relaxed

The calculated total energy comes out at -49.240 eV for the cell shown. For the formation energy, the calculation gives -0.430 eV/atom. As for the total magnetic moment: 0.00 Bohr magnetons per cell.

a b c (Å): 9.203 5.193 11.234
angles (deg): 90.00 107.12 90.00
Space group P2_1/m (No. 11)
Inequivalent atoms, fractional coordinates:
Pr: 0.067 0.250 0.384 [2 per cell]
Ho: 0.231 0.250 0.003 [2 per cell]
Ho: 0.352 0.750 0.807 [2 per cell]
Ho: 0.489 0.250 0.613 [2 per cell]
Hg: 0.063 0.750 0.910 [2 per cell]
Hg: 0.142 0.750 0.207 [2 per cell]
Hg: 0.176 0.250 0.693 [2 per cell]
Hg: 0.258 0.750 0.523 [2 per cell]
Hg: 0.360 0.250 0.289 [2 per cell]
Hg: 0.464 0.750 0.094 [2 per cell]

***

No. 2
Material: LiLuCoBi
Method: DFT, PBE
State: relaxed

The calculated total energy comes out at -74.394 eV for the cell shown. For the formation energy, the calculation gives -0.294 eV/atom. As for the total magnetic moment: 0.00 Bohr magnetons per cell.

a b c (Å): 6.553 6.553 6.553
angles (deg): 90.00 90.00 90.00
Space group F-43m (No. 216)
Inequivalent atoms, fractional coordinates:
Li: 0.000 0.000 0.000 [4 per cell]
Lu: 0.250 0.250 0.250 [4 per cell]
Co: 0.000 0.000 0.500 [4 per cell]
Bi: 0.250 0.250 0.750 [4 per cell]

***

No. 3
Material: SrNpNiSe4
Method: DFT, PBE
State: relaxed

The calculated total energy comes out at -83.836 eV for the cell shown. As for the total magnetic moment: 4.55 Bohr magnetons per cell.

a b c (Å): 6.930 5.888 8.598
angles (deg): 90.00 106.50 90.00
Space group P2_1/m (No. 11)
Inequivalent atoms, fractional coordinates:
Sr: 0.237 0.250 0.436 [2 per cell]
Np: 0.238 0.250 0.942 [2 per cell]
Ni: 0.254 0.750 0.173 [2 per cell]
Se: 0.062 0.750 0.360 [2 per cell]
Se: 0.077 0.750 0.903 [2 per cell]
Se: 0.482 0.509 0.768 [4 per cell]

***

No. 4
Material: ZrHg2
Method: DFT, PBE
State: relaxed

The calculated total energy comes out at -75.220 eV for the cell shown. For the formation energy, the calculation gives -0.084 eV/atom. As for the total magnetic moment: 3.15 Bohr magnetons per cell.

a b c (Å): 4.371 4.371 27.720
angles (deg): 90.00 90.00 90.00
Space group I4_1/amd (No. 141, origin choice 2)
Inequivalent atoms, fractional coordinates:
Zr: 0.000 0.250 0.293 [8 per cell]
Hg: 0.000 0.250 0.123 [8 per cell]
Hg: 0.000 0.250 0.788 [8 per cell]

***

No. 5
Material: LiSeO3
Method: DFT, PBE
State: relaxed

The calculated total energy comes out at -47.685 eV for the cell shown. As for the total magnetic moment: 0.00 Bohr magnetons per cell.

a b c (Å): 5.3450 5.3450 5.2044
angles (deg): 90.00 90.00 120.00
Space group P-6c2 (No. 188)
Inequivalent atoms, fractional coordinates:
Li: 0.0000 0.0000 0.0000 [2 per cell]
Se: 0.6667 0.3333 0.0000 [2 per cell]
O: 0.3607 0.0921 0.2500 [6 per cell]

***

No. 6
Material: Ac2LaTe4
Method: DFT, PBE
State: relaxed

The calculated total energy comes out at -145.493 eV for the cell shown. As for the total magnetic moment: 0.00 Bohr magnetons per cell.

a b c (Å): 4.531 15.685 15.680
angles (deg): 90.00 90.00 90.00
Space group Cmcm (No. 63)
Inequivalent atoms, fractional coordinates:
Ac: 0.000 0.132 0.072 [8 per cell]
La: 0.000 0.374 0.250 [4 per cell]
Te: 0.000 0.022 0.250 [4 per cell]
Te: 0.000 0.220 0.626 [8 per cell]
Te: 0.000 0.500 0.000 [4 per cell]